# 1
4
Lattice="-1.735 -3.024 0.092 3.978 -2.326 -1.422 1.483 -0.690 5.274" Properties=species:S:1:pos:R:3 comment="Sc3Sb | the Alexandria database | PBE-GGA | optimized geometry" relative_energy_ev_per_atom=0.178 e_form_raw_mev_per_atom=-372 total_magnetization_mub_per_atom=0.000 pbc="T T T"
Sc 2.483 -1.393 1.047
Sc 2.400 -3.270 3.884
Sc -0.157 -1.842 2.575
Sb 1.469 -0.683 5.227



# 2
28
Lattice="-6.925 5.281 4.423 -4.754 -2.784 6.667 1.258 4.688 7.158" Properties=species:S:1:pos:R:3 comment="KAg2F11 | the Alexandria database | PBE-GGA | optimized geometry" e_form_raw_mev_per_atom=-987 total_magnetization_mub_per_atom=0.010 pbc="T T T"
Ag -7.086 3.426 9.748
Ag -5.383 8.157 10.826
Ag -3.379 3.760 8.516
Ag -5.025 -1.013 7.402
F -6.332 4.280 11.314
F -5.236 3.017 8.926
F -4.986 3.634 4.659
F -4.640 6.601 9.996
F 0.691 4.526 7.306
F -7.219 5.153 8.882
F -9.369 6.412 16.051
F -8.815 3.757 10.497
F -6.160 7.130 12.283
F -4.916 0.789 8.009
F -3.190 4.562 10.268
F -1.609 4.295 8.062
F -0.127 2.727 5.416
F -4.076 5.435 7.838
F -4.173 -0.520 5.734
F -10.211 3.888 12.587
F -7.825 2.569 8.167
F -6.933 1.691 10.611
F -2.690 2.086 9.198
F -1.121 1.270 2.400
F -5.504 4.048 13.792
F -3.577 2.959 6.765
K -7.871 5.321 13.681
K -2.660 1.728 4.557



# 3
5
Lattice="4.172 0.000 0.000 0.000 5.450 0.000 0.000 0.000 4.172" Properties=species:S:1:pos:R:3 comment="NbAsC2Br | the Alexandria database | PBE-GGA | optimized geometry" e_form_raw_mev_per_atom=1395 total_magnetization_mub_per_atom=0.000 pbc="T T T"
As 0.000 2.725 0.000
Nb 0.000 0.000 0.000
C 2.086 0.000 0.000
C 0.000 0.000 2.086
Br 2.086 2.725 2.086



# 4
16
Lattice="-0.051 5.774 1.258 0.689 -1.344 6.199 11.769 0.371 -1.227" Properties=species:S:1:pos:R:3 comment="Tb4Te3S | the Alexandria database | PBE-GGA | optimized geometry" relative_energy_ev_per_atom=0.051 e_form_raw_mev_per_atom=-1428 total_magnetization_mub_per_atom=0.000 pbc="T T T"
Te 9.004 3.138 1.630
Te 3.425 -0.481 4.134
Te 9.307 -0.295 3.521
Te 0.453 2.318 5.049
Te 6.088 0.154 1.328
Te 3.117 2.952 2.243
Tb 9.157 2.442 4.831
Tb 3.670 2.269 5.403
Tb 2.871 0.203 0.973
Tb 9.153 0.401 0.319
Tb 0.102 3.004 1.884
Tb 6.439 -0.532 4.493
Tb 0.552 -0.713 5.083
Tb 5.989 3.184 1.293
S 0.161 0.052 1.556
S 6.381 2.420 4.821



# 5
20
Lattice="10.467 0.001 0.000 -8.758 5.732 0.000 0.000 0.000 7.056" Properties=species:S:1:pos:R:3 comment="Ti2Sn3 | the Alexandria database | PBE-GGA | optimized geometry" formation_enthalpy_0k_ev_per_atom=-0.31 total_magnetization_mub_per_atom=0.000 pbc="T T T"
Ti -2.714 2.370 5.292
Ti 8.915 0.464 0.323
Ti -0.698 3.329 3.205
Ti -1.859 5.236 5.292
Ti 3.568 0.497 1.764
Ti -7.206 5.269 6.733
Ti 4.423 3.363 1.764
Ti 2.406 2.404 3.851
Sn 6.156 1.286 0.516
Sn 0.894 4.415 5.292
Sn -4.447 4.447 6.539
Sn -3.456 4.151 3.011
Sn 0.815 1.318 1.764
Sn -6.426 5.037 4.051
Sn 8.135 0.696 3.005
Sn 5.165 1.581 4.044
Sn -1.478 3.562 0.523
Sn 0.039 1.549 5.292
Sn 1.670 4.184 1.764
Sn 3.187 2.171 6.533



# 6
24
Lattice="-0.391 -3.706 -1.783 13.128 -0.440 -1.962 1.521 -5.666 11.444" Properties=species:S:1:pos:R:3 comment="Ac3Zn2Ni | the Alexandria database | PBE-GGA | optimized geometry" formation_enthalpy_0k_ev_per_atom=-0.24 total_magnetization_mub_per_atom=0.000 pbc="T T T"
Zn 9.545 -3.917 3.658
Zn 13.760 -7.127 4.621
Zn 4.714 -5.895 4.041
Zn 12.158 -6.812 9.103
Zn 6.685 -4.083 -0.157
Zn 0.498 -2.685 3.078
Zn 2.101 -2.999 -1.404
Zn 7.573 -5.729 7.857
Ac 11.784 -5.726 2.140
Ac 12.332 -3.893 -1.789
Ac 6.350 -3.259 2.991
Ac 4.785 -7.300 6.948
Ac 2.790 -4.426 1.410
Ac 1.926 -5.919 9.488
Ac 9.459 -8.455 8.324
Ac 4.799 -1.357 -0.625
Ac 9.474 -2.511 0.751
Ac 2.474 -4.086 5.559
Ac 11.468 -5.386 6.289
Ac 7.908 -6.552 4.709
Ni 12.595 -8.093 6.883
Ni 8.395 -5.144 1.675
Ni 1.663 -1.719 0.816
Ni 5.863 -4.667 6.024



# 7
10
Lattice="-0.679 -2.080 -3.166 2.858 -0.442 -0.322 -0.953 -12.102 8.157" Properties=species:S:1:pos:R:3 comment="ZrNb4Rh5 | the Alexandria database | PBE-GGA | optimized geometry" formation_enthalpy_0k_ev_per_atom=-0.46 total_magnetization_mub_per_atom=0.000 pbc="T T T"
Nb -0.568 -7.220 4.866
Nb -0.384 -4.883 3.291
Nb -0.754 -9.579 6.457
Nb -0.199 -2.523 1.701
Rh 0.988 -2.545 -0.879
Rh 0.238 -12.080 5.548
Rh 0.613 -7.313 2.335
Rh 0.800 -4.931 0.730
Rh 0.426 -9.694 3.940
Zr 0.000 0.000 0.000



# 8
4
Lattice="-0.582 3.998 1.554 -4.724 -0.703 0.040 0.276 -1.611 4.248" Properties=species:S:1:pos:R:3 comment="LiTmTlSn | the Alexandria database | PBE-GGA | optimized geometry" formation_enthalpy_0k_ev_per_atom=-0.40 relative_energy_ev_per_atom=0.000 total_magnetization_mub_per_atom=0.000 pbc="T T T"
Tm -0.153 1.193 2.901
Tl -2.224 -1.157 2.144
Sn 0.000 0.000 0.000
Li -2.653 1.647 0.797



# 9
4
Lattice="6.011 0.074 -0.025 4.885 3.503 -0.025 1.533 0.503 5.072" Properties=species:S:1:pos:R:3 comment="LiYTl2 | the Alexandria database | PBE-GGA | optimized geometry" formation_enthalpy_0k_ev_per_atom=-0.20 relative_energy_ev_per_atom=0.135 total_magnetization_mub_per_atom=0.000 pbc="T T T"
Y 6.166 2.024 2.782
Li 3.140 1.031 0.951
Tl 9.151 3.004 3.533
Tl 0.187 0.061 0.267



# 10
4
Lattice="8.516 0.004 0.002 7.903 3.174 0.002 7.903 1.530 2.781" Properties=species:S:1:pos:R:3 comment="AsPbF2 | the Alexandria database | PBE-GGA | optimized geometry" relative_energy_ev_per_atom=0.000 e_form_raw_mev_per_atom=-1231 total_magnetization_mub_per_atom=0.031 pbc="T T T"
As 0.000 0.000 0.000
F 1.980 0.383 0.227
F 22.341 4.324 2.559
Pb 12.161 2.354 1.393



# 11
16
Lattice="8.198 0.000 0.000 0.000 8.202 -0.002 -4.099 -4.095 5.799" Properties=species:S:1:pos:R:3 comment="Y4Er3PaAs8 | the Alexandria database | PBE-GGA | optimized geometry" formation_enthalpy_0k_ev_per_atom=-1.49 total_magnetization_mub_per_atom=0.000 pbc="T T T"
As 4.099 0.020 2.928
As 2.037 2.079 0.011
As -2.062 2.028 5.786
As 4.099 4.087 2.886
As 0.000 0.020 2.911
As 0.000 4.087 2.869
As 6.161 2.079 0.011
As 2.062 2.028 5.786
Y 2.050 -2.048 2.900
Y 0.000 0.000 0.000
Y 4.099 0.000 0.000
Y -2.050 -2.048 2.900
Er 2.050 2.054 2.899
Er -2.050 2.054 2.899
Er 4.099 4.101 -0.001
Pa 0.000 4.101 -0.001



# 12
4
Lattice="4.159 0.000 0.000 0.000 4.133 0.000 0.000 0.000 4.133" Properties=species:S:1:pos:R:3 comment="ZrTi2Ga | the Alexandria database | PBE-GGA | optimized geometry" formation_enthalpy_0k_ev_per_atom=-0.29 total_magnetization_mub_per_atom=0.000 pbc="T T T"
Ga 2.079 0.000 0.000
Ti 0.000 0.000 2.067
Ti 0.000 2.067 0.000
Zr 2.079 2.067 2.067



Computed VASP energy (eV/atom) in order:
-6.1510 -2.9432 -5.5728 -5.4375 -5.8707 -3.6846 -9.0142 -3.5922 -3.4728 -4.2566 -6.8779 -7.1354